# 1
Density functional theory data (PBE) for an optimized crystal structure of Sr5ThBi5.

The calculation puts the calculated total energy at -43.364 eV/cell. As for the energy of formation: -739 meV/atom. Its symmetry is C2/m, No. 12. The mass density comes out at 6.05 g/cm³.

a b c (Å): 6.6834 8.5261 9.4482
angles (deg): 106.56 90.00 113.08
Closest atoms and distances in Å follow each position.
Fractional coordinates of all 11 atoms:
Bi1 0.1586 0.3171 0.3246  1 Th 3.30, 5 Sr 3.37-3.49
Bi2 0.8414 0.6829 0.6754  1 Th 3.30, 5 Sr 3.37-3.49
Bi3 0.1497 0.2993 0.8295  1 Th 3.23, 5 Sr 3.27-3.37
Bi4 0.5000 0.0000 0.0000  2 Th 3.34, 4 Sr 3.47-3.50
Bi5 0.8503 0.7007 0.1705  1 Th 3.23, 5 Sr 3.27-3.37
Sr1 0.6848 0.3696 0.3240  5 Bi 3.34-3.50
Sr2 0.3152 0.6304 0.6760  5 Bi 3.34-3.50
Sr3 0.3221 0.6442 0.1453  5 Bi 3.35-3.49
Sr4 0.0000 0.0000 0.5000  4 Bi 3.27-3.39
Sr5 0.6779 0.3558 0.8547  5 Bi 3.35-3.49
Th1 0.0000 0.0000 0.0000  6 Bi 3.23-3.34



# 2
Density functional theory data (PBE) for an optimized crystal structure of Sr3Th5Bi8.

The calculation puts the calculated total energy at -84.868 eV/cell. As for the energy of formation: -730 meV/atom. Its symmetry is R-3m, No. 166. The mass density comes out at 8.88 g/cm³.

a b c (Å): 9.3263 9.3263 9.3807
angles (deg): 60.19 60.19 60.00
Closest atoms and distances in Å follow each position.
Fractional coordinates of all 16 atoms:
Th1 0.5000 0.0000 0.0000  6 Bi 3.24-3.26
Th2 0.0000 0.0000 0.0000  6 Bi 3.31
Th3 0.0000 0.5000 0.0000  6 Bi 3.24-3.26
Th4 0.5000 0.5000 0.5000  6 Bi 3.31
Th5 0.5000 0.5000 0.0000  6 Bi 3.24-3.26
Sr1 0.5000 0.0000 0.5000  6 Bi 3.36-3.38
Sr2 0.0000 0.5000 0.5000  6 Bi 3.36-3.38
Sr3 0.0000 0.0000 0.5000  6 Bi 3.36-3.38
Bi1 0.2554 0.2554 0.2337  3 Th 3.24, 3 Sr 3.38
Bi2 0.2576 0.7499 0.2426  4 Th 3.26-3.31, 2 Sr 3.36
Bi3 0.7499 0.2576 0.2426  4 Th 3.26-3.31, 2 Sr 3.36
Bi4 0.2501 0.7424 0.7574  4 Th 3.26-3.31, 2 Sr 3.36
Bi5 0.7446 0.7446 0.7663  3 Th 3.24, 3 Sr 3.38
Bi6 0.7424 0.2501 0.7574  4 Th 3.26-3.31, 2 Sr 3.36
Bi7 0.7499 0.7499 0.2426  4 Th 3.26-3.31, 2 Sr 3.36
Bi8 0.2501 0.2501 0.7574  4 Th 3.26-3.31, 2 Sr 3.36



# 3
Density functional theory data (PBE) for an optimized crystal structure of SrThBi.

The calculation puts the calculated total energy at -29.292 eV/cell. As for the energy of formation: -555 meV/atom. Its symmetry is P4/nmm, No. 129. The mass density comes out at 8.06 g/cm³.

a b c (Å): 4.8351 4.8351 9.3203
angles (deg): 90.00 90.00 90.00
Closest atoms and distances in Å follow each position.
Fractional coordinates of all 6 atoms:
Th1 0.0000 0.0000 0.5000  4 Th 3.42, 4 Bi 3.48
Th2 0.5000 0.5000 0.5000  4 Th 3.42, 4 Bi 3.48
Sr1 0.0000 0.5000 0.8500  5 Bi 3.50-3.56
Sr2 0.5000 0.0000 0.1500  5 Bi 3.50-3.56
Bi1 0.0000 0.5000 0.2318  4 Th 3.48, 5 Sr 3.50-3.56
Bi2 0.5000 0.0000 0.7682  4 Th 3.48, 5 Sr 3.50-3.56



# 4
Density functional theory data (PBE) for an optimized crystal structure of SrThBi2.

The calculation puts the calculated total energy at -19.489 eV/cell. As for the energy of formation: -656 meV/atom. Its offset from the most stable computed form is 2.95 kcal/mol of atoms. Its symmetry is R3m, No. 160. The mass density comes out at 8.11 g/cm³.

a b c (Å): 4.5682 4.5682 8.7648
angles (deg): 74.89 74.89 60.00
Closest atoms and distances in Å follow each position.
Fractional coordinates of all 4 atoms:
Bi1 0.2452 0.2452 0.2643  3 Th 3.31, 3 Sr 3.48
Bi2 0.0872 0.0872 0.7383  3 Th 3.29, 3 Sr 3.39
Th1 0.4988 0.4988 0.5037  6 Bi 3.29-3.31
Sr1 0.6688 0.6688 0.9936  6 Bi 3.39-3.48



# 5
Density functional theory data (PBE) for an optimized crystal structure of SrThBi2.

The calculation puts the calculated total energy at -20.001 eV/cell. As for the energy of formation: -784 meV/atom. Its offset from the most stable computed form is 0.00 kcal/mol of atoms. Its symmetry is R-3m, No. 166. The mass density comes out at 8.19 g/cm³.

a b c (Å): 4.7082 4.7082 8.2529
angles (deg): 73.43 73.43 60.00
Closest atoms and distances in Å follow each position.
Fractional coordinates of all 4 atoms:
Bi1 0.2562 0.2562 0.2315  3 Th 3.26, 3 Sr 3.43
Bi2 0.7438 0.7438 0.7685  3 Th 3.26, 3 Sr 3.43
Th1 0.0000 0.0000 0.0000  6 Bi 3.26
Sr1 0.5000 0.5000 0.5000  6 Bi 3.43



# 6
Density functional theory data (PBE) for an optimized crystal structure of Sr5ThBi4.

The calculation puts the calculated total energy at -37.965 eV/cell. As for the energy of formation: -661 meV/atom. Its symmetry is C2/m, No. 12. The mass density comes out at 5.59 g/cm³.

a b c (Å): 4.8377 9.2617 10.6317
angles (deg): 104.81 103.15 90.00
Closest atoms and distances in Å follow each position.
Fractional coordinates of all 10 atoms:
Sr1 0.1691 0.8530 0.3382  4 Bi 3.35-3.36
Sr2 0.8338 0.6569 0.6677  3 Bi 3.29-3.34
Sr3 0.1662 0.3431 0.3323  3 Bi 3.29-3.34
Sr4 0.8309 0.1470 0.6618  4 Bi 3.35-3.36
Sr5 0.5000 0.5000 0.0000  4 Bi 3.39
Bi1 0.6643 0.1006 0.3286  1 Th 3.28, 5 Sr 3.29-3.36
Bi2 0.3357 0.8994 0.6714  1 Th 3.28, 5 Sr 3.29-3.36
Bi3 0.0010 0.7577 0.0020  2 Th 3.30, 4 Sr 3.34-3.39
Bi4 0.9990 0.2423 0.9980  2 Th 3.30, 4 Sr 3.34-3.39
Th1 0.5000 0.0000 0.0000  6 Bi 3.28-3.30